VASP calculation (GGA-PBE) on a relaxed YTmCu2 crystal.

Output
The value obtained for the formation enthalpy at 0 K is -0.27 eV/atom. The density of states at the Fermi level is 0.665 states/eV/atom. The value obtained for the theoretical density is 7.79 g cm⁻³.

Unit cell a=3.442 b=3.442 c=6.925 alpha=90.00 beta=90.00 gamma=90.00
Element x y z (fractional)
Y: 0.000 0.000 0.000
Tm: 0.000 0.000 0.500
Cu: 0.500 0.500 0.262
Cu: 0.500 0.500 0.738


VASP calculation (GGA-PBE) on a relaxed YTm2Cu9 crystal.

Output
The value obtained for the formation enthalpy at 0 K is -0.22 eV/atom. The density of states at the Fermi level is 0.747 states/eV/atom. The value obtained for the theoretical density is 8.77 g cm⁻³.

Unit cell a=5.140 b=5.140 c=16.535 alpha=90.00 beta=90.00 gamma=120.00
Element x y z (fractional)
Y: 0.333 0.667 0.250
Y: 0.667 0.333 0.750
Tm: 0.333 0.667 0.039
Tm: 0.333 0.667 0.461
Tm: 0.667 0.333 0.539
Tm: 0.667 0.333 0.961
Cu: 0.000 0.000 0.000
Cu: 0.000 0.000 0.250
Cu: 0.000 0.000 0.500
Cu: 0.000 0.000 0.750
Cu: 0.167 0.335 0.626
Cu: 0.167 0.335 0.874
Cu: 0.167 0.833 0.626
Cu: 0.167 0.833 0.874
Cu: 0.333 0.667 0.750
Cu: 0.335 0.167 0.126
Cu: 0.335 0.167 0.374
Cu: 0.665 0.833 0.626
Cu: 0.665 0.833 0.874
Cu: 0.667 0.333 0.250
Cu: 0.833 0.167 0.126
Cu: 0.833 0.167 0.374
Cu: 0.833 0.665 0.126
Cu: 0.833 0.665 0.374


VASP calculation (GGA-PBE) on a relaxed Y2TmCu crystal.

Output
The value obtained for the formation enthalpy at 0 K is -0.06 eV/atom. The density of states at the Fermi level is 1.297 states/eV/atom. The value obtained for the theoretical density is 6.35 g cm⁻³.

Unit cell a=6.315 b=6.315 c=7.461 alpha=90.00 beta=90.00 gamma=133.82
Element x y z (fractional)
Y: 0.148 0.852 0.529
Y: 0.148 0.852 0.971
Y: 0.852 0.148 0.029
Y: 0.852 0.148 0.471
Tm: 0.457 0.543 0.750
Tm: 0.543 0.457 0.250
Cu: 0.304 0.696 0.250
Cu: 0.696 0.304 0.750


VASP calculation (GGA-PBE) on a relaxed Y2Tm3Cu2 crystal.

Output
The value obtained for the formation enthalpy at 0 K is -0.14 eV/atom. The density of states at the Fermi level is 1.382 states/eV/atom. The value obtained for the theoretical density is 7.59 g cm⁻³.

Unit cell a=6.436 b=6.436 c=8.961 alpha=115.92 beta=115.92 gamma=32.52
Element x y z (fractional)
Y: 0.154 0.154 0.311
Y: 0.846 0.846 0.689
Tm: 0.385 0.385 0.056
Tm: 0.500 0.500 0.500
Tm: 0.615 0.615 0.944
Cu: 0.169 0.169 0.731
Cu: 0.831 0.831 0.269


VASP calculation (GGA-PBE) on a relaxed Y2TmZn12Cu3 crystal.

Output
The value obtained for the formation enthalpy at 0 K is -0.02 eV/atom. The density of states at the Fermi level is 0.492 states/eV/atom. The value obtained for the theoretical density is 6.56 g cm⁻³.

Unit cell a=9.930 b=9.930 c=9.930 alpha=38.09 beta=38.09 gamma=38.09
Element x y z (fractional)
Y: 0.143 0.143 0.143
Y: 0.857 0.857 0.857
Tm: 0.500 0.500 0.500
Zn: 0.034 0.626 0.626
Zn: 0.179 0.179 0.781
Zn: 0.179 0.781 0.179
Zn: 0.219 0.821 0.821
Zn: 0.374 0.374 0.966
Zn: 0.374 0.966 0.374
Zn: 0.626 0.034 0.626
Zn: 0.626 0.626 0.034
Zn: 0.781 0.179 0.179
Zn: 0.821 0.219 0.821
Zn: 0.821 0.821 0.219
Zn: 0.966 0.374 0.374
Cu: 0.000 0.500 0.500
Cu: 0.500 0.000 0.500
Cu: 0.500 0.500 0.000


VASP calculation (GGA-PBE) on a relaxed Tm2ZnCu9 crystal.

Output
The value obtained for the formation enthalpy at 0 K is -0.09 eV/atom. The density of states at the Fermi level is 0.424 states/eV/atom. The value obtained for the theoretical density is 8.99 g cm⁻³.

Unit cell a=8.662 b=8.662 c=8.662 alpha=33.89 beta=33.89 gamma=33.89
Element x y z (fractional)
Tm: 0.135 0.135 0.135
Tm: 0.865 0.865 0.865
Zn: 0.000 0.000 0.000
Cu: 0.079 0.584 0.584
Cu: 0.333 0.333 0.333
Cu: 0.416 0.416 0.921
Cu: 0.416 0.921 0.416
Cu: 0.500 0.500 0.500
Cu: 0.584 0.079 0.584
Cu: 0.584 0.584 0.079
Cu: 0.667 0.667 0.667
Cu: 0.921 0.416 0.416


VASP calculation (GGA-PBE) on a relaxed Tm5ZnCu4 crystal.

Output
The value obtained for the formation enthalpy at 0 K is -0.31 eV/atom. The density of states at the Fermi level is 0.426 states/eV/atom. The value obtained for the theoretical density is 9.53 g cm⁻³.

Unit cell a=3.429 b=3.429 c=17.256 alpha=90.00 beta=90.00 gamma=90.00
Element x y z (fractional)
Tm: 0.000 0.000 0.000
Tm: 0.000 0.000 0.199
Tm: 0.000 0.000 0.396
Tm: 0.000 0.000 0.604
Tm: 0.000 0.000 0.801
Zn: 0.500 0.500 0.500
Cu: 0.500 0.500 0.099
Cu: 0.500 0.500 0.299
Cu: 0.500 0.500 0.701
Cu: 0.500 0.500 0.901


VASP calculation (GGA-PBE) on a relaxed Tm3Zn9Cu2 crystal.

Output
The value obtained for the formation enthalpy at 0 K is -0.30 eV/atom. The density of states at the Fermi level is 0.538 states/eV/atom. The value obtained for the theoretical density is 8.46 g cm⁻³.

Unit cell a=7.990 b=7.990 c=7.990 alpha=148.69 beta=112.86 gamma=75.94
Element x y z (fractional)
Tm: 0.000 0.000 0.000
Tm: 0.297 0.297 0.000
Tm: 0.703 0.703 0.000
Zn: 0.017 0.658 0.359
Zn: 0.150 0.867 0.283
Zn: 0.299 0.658 0.641
Zn: 0.416 0.133 0.283
Zn: 0.500 0.000 0.500
Zn: 0.584 0.867 0.717
Zn: 0.701 0.342 0.359
Zn: 0.850 0.133 0.717
Zn: 0.983 0.342 0.641
Cu: 0.322 0.500 0.822
Cu: 0.678 0.500 0.178


VASP calculation (GGA-PBE) on a relaxed TmZnCu3 crystal.

Output
The value obtained for the formation enthalpy at 0 K is -0.15 eV/atom. The density of states at the Fermi level is 0.540 states/eV/atom. The value obtained for the theoretical density is 8.83 g cm⁻³.

Unit cell a=6.279 b=6.279 c=6.279 alpha=133.14 beta=112.42 gamma=86.27
Element x y z (fractional)
Tm: 0.257 0.007 0.250
Tm: 0.743 0.993 0.750
Zn: 0.000 0.500 0.500
Zn: 0.500 0.500 0.000
Cu: 0.190 0.000 0.690
Cu: 0.190 0.500 0.190
Cu: 0.440 0.690 0.750
Cu: 0.560 0.310 0.250
Cu: 0.810 0.000 0.310
Cu: 0.810 0.500 0.810


VASP calculation (GGA-PBE) on a relaxed TmZnCu crystal.

Output
The value obtained for the formation enthalpy at 0 K is -0.32 eV/atom. The density of states at the Fermi level is 0.544 states/eV/atom. The value obtained for the theoretical density is 8.78 g cm⁻³.

Unit cell a=4.305 b=4.305 c=3.510 alpha=90.00 beta=90.00 gamma=120.00
Element x y z (fractional)
Tm: 0.000 0.000 0.000
Zn: 0.333 0.667 0.500
Cu: 0.667 0.333 0.500


VASP calculation (GGA-PBE) on a relaxed Tm3Zn2Cu2 crystal.

Output
The value obtained for the formation enthalpy at 0 K is -0.09 eV/atom. The density of states at the Fermi level is 0.895 states/eV/atom. The value obtained for the theoretical density is 7.97 g cm⁻³.

Unit cell a=4.663 b=4.663 c=8.844 alpha=104.87 beta=104.87 gamma=60.13
Element x y z (fractional)
Tm: 0.000 0.000 0.000
Tm: 0.217 0.217 0.647
Tm: 0.783 0.783 0.353
Zn: 0.401 0.401 0.204
Zn: 0.599 0.599 0.796
Cu: 0.103 0.103 0.310
Cu: 0.897 0.897 0.690


VASP calculation (GGA-PBE) on a relaxed TmZn3Cu8 crystal.

Output
The value obtained for the formation enthalpy at 0 K is -0.09 eV/atom. The density of states at the Fermi level is 0.499 states/eV/atom. The value obtained for the theoretical density is 8.58 g cm⁻³.

Unit cell a=4.952 b=4.952 c=7.964 alpha=90.00 beta=90.00 gamma=120.00
Element x y z (fractional)
Tm: 0.000 0.000 0.000
Zn: 0.000 0.000 0.394
Zn: 0.667 0.333 0.495
Zn: 0.667 0.333 0.843
Cu: 0.165 0.329 0.682
Cu: 0.165 0.835 0.682
Cu: 0.333 0.667 0.435
Cu: 0.333 0.667 0.938
Cu: 0.504 0.008 0.194
Cu: 0.504 0.496 0.194
Cu: 0.671 0.835 0.682
Cu: 0.992 0.496 0.194


- Among the records above, which one has the highest formation enthalpy at 0 K?
  Y2TmZn12Cu3


- Which of these has the lowest theoretical density?
  Y2TmCu


- formation enthalpy at 0 K of number 9 (TmZnCu3)?
  -0.15 eV/atom